A plane-wave DFT calculation with PBE was carried out for a geometry-optimized Ba6CdPd structure.

a = 4.640 Å, b = 12.569 Å, c = 8.084 Å
α = 97.53°, β = 73.36°, γ = 79.44°
Element x y z (fractional)
Ba (0.913, 0.402, 0.773)
Ba (0.580, 0.075, 0.765)
Ba (0.759, 0.239, 0.248)
Ba (0.420, 0.925, 0.235)
Ba (0.087, 0.598, 0.227)
Ba (0.241, 0.761, 0.752)
Cd (0.500, 0.500, 0.500)
Pd (0.000, 0.000, 0.000)

density	3.976	Mg/m³
V	435.6	Å³/cell
calculated formation energy	-191	meV/atom
polymorph energy (0 for the lowest one)	0.011	eV/atom
N(E_F)	1.087	states/eV/atom
M_tot	0.00	μB/cell